The following is a PBEsol calculation of a geometry-optimized CaFe2Hg structure, from Alexandria via LeMat-Bulk.

The space group is Pmmm (No. 47) and the conventional cell measures 3.441, 3.550 and 6.201 Å, with angles of 90.00, 90.00 and 90.00 degrees. Symmetry generates all atoms from Ca at (0.000, 0.000, 0.000), Fe at (0.500, 0.500, 0.323) and Hg at (0.000, 0.000, 0.500).

The total magnetization is 4.88 Bohr magnetons per cell. Its formation energy from the elements is 0.48 eV per atom. The value obtained for the uncorrected energy is -18.71 eV per cell. The density of states at the Fermi level is 4.3 states/eV/f.u.